# PBE La8PtS3Br4, relaxed
# Magnetization (μB per cell): 0.00
# Formation energy (no corrections) (meV per atom): -1630
data_La8PtS3Br4
_space_group_name_H-M_alt 'R -3 m'
_space_group_IT_number 166
_space_group_name_Hall '-R 3 2"'
_cell_length_a 8.4176
_cell_length_b 8.4176
_cell_length_c 21.9623
_cell_angle_alpha 90.00
_cell_angle_beta 90.00
_cell_angle_gamma 120.00
loop_
_atom_site_label
_atom_site_type_symbol
_atom_site_fract_x
_atom_site_fract_y
_atom_site_fract_z
La1 La 0.0000 0.0000 0.2365
La2 La 0.0060 0.5030 0.7616
Pt1 Pt 0.0000 0.0000 0.5000
S1 S 0.0000 0.5000 0.5000
Br1 Br 0.0000 0.0000 0.0000
Br2 Br 0.0000 0.5000 0.0000

---

# PBE HoMgCd4, relaxed
# Magnetization (μB per cell): 0.00
# Polymorph energy (0 for the lowest one) (eV/f.u.): 1.01
data_HoMgCd4
_space_group_name_H-M_alt 'P 4/m m m'
_space_group_IT_number 123
_space_group_name_Hall '-P 4 2'
_cell_length_a 4.2288
_cell_length_b 4.2288
_cell_length_c 9.3146
_cell_angle_alpha 90.00
_cell_angle_beta 90.00
_cell_angle_gamma 90.00
loop_
_atom_site_label
_atom_site_type_symbol
_atom_site_fract_x
_atom_site_fract_y
_atom_site_fract_z
Ho1 Ho 0.0000 0.0000 0.0000
Mg1 Mg 0.5000 0.5000 0.5000
Cd1 Cd 0.0000 0.5000 0.2601

---

# PBE La2Al3Zn, relaxed
# Magnetization (μB per cell): 0.00
data_La2Al3Zn
_space_group_name_H-M_alt 'F m m m'
_space_group_IT_number 69
_space_group_name_Hall '-F 2 2'
_cell_length_a 7.9011
_cell_length_b 9.2411
_cell_length_c 15.9726
_cell_angle_alpha 90.00
_cell_angle_beta 90.00
_cell_angle_gamma 90.00
loop_
_atom_site_label
_atom_site_type_symbol
_atom_site_fract_x
_atom_site_fract_y
_atom_site_fract_z
La1 La 0.2459 0.0000 0.0000
La2 La 0.2500 0.2500 0.2500
Al1 Al 0.0000 0.0000 0.3330
Al2 Al 0.0000 0.2491 0.4161
Zn1 Zn 0.0000 0.0000 0.1672

---

# PBE Ho2AlFe5B2, relaxed
# Magnetization (μB per cell): 12.59
data_Ho2AlFe5B2
_space_group_name_H-M_alt 'P 4/m b m'
_space_group_IT_number 127
_space_group_name_Hall '-P 4 2ab'
_cell_length_a 9.0038
_cell_length_b 9.0038
_cell_length_c 3.1553
_cell_angle_alpha 90.00
_cell_angle_beta 90.00
_cell_angle_gamma 90.00
loop_
_atom_site_label
_atom_site_type_symbol
_atom_site_fract_x
_atom_site_fract_y
_atom_site_fract_z
Ho1 Ho 0.1781 0.3219 0.0000
Al1 Al 0.0000 0.0000 0.0000
Fe1 Fe 0.0000 0.5000 0.5000
Fe2 Fe 0.0679 0.7709 0.5000
B1 B 0.1181 0.6181 0.0000

---

# PBE ScHSCl2, relaxed
# Magnetization (μB per cell): 0.00
# Polymorph energy (0 for the lowest one) (eV/f.u.): 1.57
data_ScHSCl2
_space_group_name_H-M_alt 'P 4/m m m'
_space_group_IT_number 123
_space_group_name_Hall '-P 4 2'
_cell_length_a 4.8310
_cell_length_b 4.8310
_cell_length_c 3.4394
_cell_angle_alpha 90.00
_cell_angle_beta 90.00
_cell_angle_gamma 90.00
loop_
_atom_site_label
_atom_site_type_symbol
_atom_site_fract_x
_atom_site_fract_y
_atom_site_fract_z
Sc1 Sc 0.0000 0.0000 0.0000
H1 H 0.5000 0.5000 0.5000
S1 S 0.5000 0.5000 0.0000
Cl1 Cl 0.0000 0.5000 0.5000

---

# PBE AcEr2Pb, relaxed
# Magnetization (μB per cell): 0.00
# Polymorph energy (0 for the lowest one) (eV/f.u.): 0.58
data_AcEr2Pb
_space_group_name_H-M_alt 'P 4/m m m'
_space_group_IT_number 123
_space_group_name_Hall '-P 4 2'
_cell_length_a 3.8872
_cell_length_b 3.8872
_cell_length_c 8.6240
_cell_angle_alpha 90.00
_cell_angle_beta 90.00
_cell_angle_gamma 90.00
loop_
_atom_site_label
_atom_site_type_symbol
_atom_site_fract_x
_atom_site_fract_y
_atom_site_fract_z
Ac1 Ac 0.0000 0.0000 0.0000
Er1 Er 0.5000 0.5000 0.2917
Pb1 Pb 0.0000 0.0000 0.5000

---

# PBE Cs3Se2S4, relaxed
# Magnetization (μB per cell): 0.00
# Formation energy (no corrections) (meV per atom): -571
# Polymorph energy (0 for the lowest one) (eV/f.u.): 0.42
data_Cs3Se2S4
_space_group_name_H-M_alt 'C 1 2/c 1'
_space_group_IT_number 15
_space_group_name_Hall '-C 2yc'
_cell_length_a 12.7562
_cell_length_b 20.4837
_cell_length_c 6.9151
_cell_angle_alpha 90.00
_cell_angle_beta 103.07
_cell_angle_gamma 90.00
loop_
_atom_site_label
_atom_site_type_symbol
_atom_site_fract_x
_atom_site_fract_y
_atom_site_fract_z
Cs1 Cs 0.0000 0.0984 0.2500
Cs2 Cs 0.1709 0.4276 0.4329
Se1 Se 0.2380 0.1002 0.0247
S1 S 0.0591 0.4071 0.8837
S2 S 0.0846 0.0696 0.7624

---

# PBE MnP4, relaxed
# Magnetization (μB per cell): 0.00
data_MnP4
_space_group_name_H-M_alt 'I 4/m m m'
_space_group_IT_number 139
_space_group_name_Hall '-I 4 2'
_cell_length_a 5.3413
_cell_length_b 5.3413
_cell_length_c 5.1499
_cell_angle_alpha 90.00
_cell_angle_beta 90.00
_cell_angle_gamma 90.00
loop_
_atom_site_label
_atom_site_type_symbol
_atom_site_fract_x
_atom_site_fract_y
_atom_site_fract_z
Mn1 Mn 0.0000 0.0000 0.0000
P1 P 0.2087 0.2087 0.5000

---

# PBE AcPrCuPd, relaxed
# Magnetization (μB per cell): 0.00
# Polymorph energy (0 for the lowest one) (eV/f.u.): 0.34
data_AcPrCuPd
_space_group_name_H-M_alt 'F -4 3 m'
_space_group_IT_number 216
_space_group_name_Hall 'F -4 2 3'
_cell_length_a 7.4567
_cell_length_b 7.4567
_cell_length_c 7.4567
_cell_angle_alpha 90.00
_cell_angle_beta 90.00
_cell_angle_gamma 90.00
loop_
_atom_site_label
_atom_site_type_symbol
_atom_site_fract_x
_atom_site_fract_y
_atom_site_fract_z
Ac1 Ac 0.0000 0.0000 0.0000
Pr1 Pr 0.0000 0.0000 0.5000
Cu1 Cu 0.2500 0.2500 0.2500
Pd1 Pd 0.2500 0.2500 0.7500

---

# PBE NdB2C2, relaxed
# Magnetization (μB per cell): 0.00
data_NdB2C2
_space_group_name_H-M_alt 'P 42/m m c'
_space_group_IT_number 131
_space_group_name_Hall '-P 4c 2'
_cell_length_a 3.8262
_cell_length_b 3.8262
_cell_length_c 7.6914
_cell_angle_alpha 90.00
_cell_angle_beta 90.00
_cell_angle_gamma 90.00
loop_
_atom_site_label
_atom_site_type_symbol
_atom_site_fract_x
_atom_site_fract_y
_atom_site_fract_z
Nd1 Nd 0.0000 0.0000 0.2500
B1 B 0.2165 0.5000 0.0000
C1 C 0.1870 0.5000 0.5000

---

# PBE SrPdRhPb2, relaxed
# Magnetization (μB per cell): 0.00
data_SrPdRhPb2
_space_group_name_H-M_alt 'I -4 m 2'
_space_group_IT_number 119
_space_group_name_Hall 'I -4 -2'
_cell_length_a 4.8637
_cell_length_b 4.8637
_cell_length_c 10.9904
_cell_angle_alpha 90.00
_cell_angle_beta 90.00
_cell_angle_gamma 90.00
loop_
_atom_site_label
_atom_site_type_symbol
_atom_site_fract_x
_atom_site_fract_y
_atom_site_fract_z
Sr1 Sr 0.0000 0.0000 0.0000
Pd1 Pd 0.0000 0.5000 0.7500
Rh1 Rh 0.0000 0.5000 0.2500
Pb1 Pb 0.0000 0.0000 0.3596

---

# PBE MgZn4, relaxed
# Magnetization (μB per cell): 0.00
# Polymorph energy (0 for the lowest one) (eV/f.u.): 0.24
data_MgZn4
_space_group_name_H-M_alt 'I 4/m m m'
_space_group_IT_number 139
_space_group_name_Hall '-I 4 2'
_cell_length_a 3.7547
_cell_length_b 3.7547
_cell_length_c 12.3267
_cell_angle_alpha 90.00
_cell_angle_beta 90.00
_cell_angle_gamma 90.00
loop_
_atom_site_label
_atom_site_type_symbol
_atom_site_fract_x
_atom_site_fract_y
_atom_site_fract_z
Mg1 Mg 0.0000 0.0000 0.0000
Zn1 Zn 0.0000 0.0000 0.3998
Zn2 Zn 0.0000 0.5000 0.2500

---

| no. | uncorrected energy (eV for the cell shown) |
| --- | --- |
| 1 | -271.9 |
| 2 | -9.4 |
| 3 | -199.9 |
| 4 | -141.7 |
| 5 | -19.1 |
| 6 | -17.6 |
| 7 | -124.7 |
| 8 | -59.5 |
| 9 | -78.9 |
| 10 | -75.9 |
| 11 | -46.7 |
| 12 | -13.2 |